No. 1
Ac3TlRuCl GGA-PBE optimized geometry; VASP energy = -4.906 eV per atom; energy relative to the elements, uncorrected = -0.60 eV/atom; volume = 418.84 Å³/cell
1.0
-4.1908 1.1418 0.7935
-1.3419 -8.2346 4.7611
3.0362 5.9281 7.5059
Ru Cl Ac Tl
2 2 6 2
direct
0.7500 0.3431 0.8484 Ru
0.2500 0.6569 0.1516 Ru
0.7500 0.9405 0.3952 Cl
0.2500 0.0595 0.6048 Cl
0.7500 0.8560 0.1024 Ac
0.7500 0.2646 0.5619 Ac
0.7500 0.4504 0.1536 Ac
0.2500 0.5496 0.8464 Ac
0.2500 0.7354 0.4381 Ac
0.2500 0.1440 0.8976 Ac
0.7500 0.7862 0.7361 Tl
0.2500 0.2138 0.2639 Tl

No. 2
InHOF2 GGA-PBE optimized geometry; VASP energy = -3.818 eV per atom; volume = 75.83 Å³/cell; energy above the lowest structure with this stoichiometry = 0.1386 eV per atom
1.0
4.2236 0.0000 0.0000
0.0000 4.2236 0.0000
0.0000 0.0000 4.2507
F In O H
2 1 1 1
direct
0.5000 0.0000 0.0000 F
0.0000 0.5000 0.0000 F
0.0000 0.0000 0.0000 In
0.0000 0.0000 0.5000 O
0.5000 0.5000 0.5000 H

No. 3
Dy2Al3ZnPt4 GGA-PBE optimized geometry; VASP energy = -5.626 eV per atom; volume = 184.38 Å³/cell; DFT formation energy = -1039 meV per atom
1.0
4.0969 0.0000 0.0000
0.0000 4.0969 0.0000
0.0000 0.0000 10.9848
Pt Al Zn Dy
4 3 1 2
direct
0.5000 0.5000 0.0000 Pt
0.5000 0.0000 0.6445 Pt
0.0000 0.0000 0.0000 Pt
0.0000 0.5000 0.3555 Pt
0.0000 0.0000 0.5000 Al
0.5000 0.0000 0.8682 Al
0.0000 0.5000 0.1318 Al
0.5000 0.5000 0.5000 Zn
0.0000 0.5000 0.7437 Dy
0.5000 0.0000 0.2563 Dy

No. 4
CaCoOs2 GGA-PBE optimized geometry; VASP energy = -7.115 eV per atom; volume = 62.60 Å³/cell; energy above the lowest structure with this stoichiometry = 0.4263 eV per atom; DFT formation energy = 777 meV per atom
1.0
-2.8215 2.2106 3.6189
-5.0475 -0.5092 -0.4551
4.0312 -3.1108 -0.1259
Os Co Ca
2 1 1
direct
0.0000 0.0000 0.0000 Os
0.5000 0.5000 0.0000 Os
0.7500 0.2500 0.5000 Co
0.2500 0.7500 0.5000 Ca

No. 5
Y3InN GGA-PBE optimized geometry; VASP energy = -6.833 eV per atom; energy relative to the elements, uncorrected = -0.74 eV/atom; volume = 526.51 Å³/cell
1.0
-1.2419 -1.1423 -5.3805
-6.6982 -11.2898 3.9430
-5.7508 3.6080 0.5614
N Y In
4 12 4
direct
0.4382 0.7500 0.3998 N
0.9382 0.7500 0.1002 N
0.5618 0.2500 0.6002 N
0.0618 0.2500 0.8998 N
0.4956 0.1211 0.4150 Y
0.5044 0.6211 0.5850 Y
0.4752 0.2500 0.9173 Y
0.0248 0.7500 0.4173 Y
0.0044 0.8789 0.9150 Y
0.5044 0.8789 0.5850 Y
0.9956 0.3789 0.0850 Y
0.4956 0.3789 0.4150 Y
0.9956 0.1211 0.0850 Y
0.5248 0.7500 0.0827 Y
0.9752 0.2500 0.5827 Y
0.0044 0.6211 0.9150 Y
0.0000 0.5000 0.5000 In
0.5000 0.0000 0.0000 In
0.5000 0.5000 0.0000 In
0.0000 0.0000 0.5000 In